Record 1
This record from OQMD via LeMat-Bulk describes RePIrO after structural relaxation. The functional is PBE.

Unit cell a=3.4722 b=6.0658 c=5.9359 alpha=90.00 beta=90.00 gamma=90.00
Closest atoms and distances in Å follow each position.
Sites, in units of the cell vectors:
P  0.5000  0.2691  0.3263  2 Ir 2.29, 2 Re 2.31-2.40
O  0.0000  0.2076  0.9169  2 Re 1.98, 1 Ir 2.08
O  0.0000  0.7924  0.4169  2 Re 1.98, 1 Ir 2.08
Re  0.5000  0.3643  0.9347  2 O 1.98
Ir  0.0000  0.7139  0.0761  1 O 2.08, 2 P 2.29
Ir  0.0000  0.2861  0.5761  1 O 2.08, 2 P 2.29
Re  0.5000  0.6357  0.4347  2 O 1.98
P  0.5000  0.7309  0.8263  2 Ir 2.29, 2 Re 2.31-2.40

Properties
E_tot in eV/atom: -8.0517
Symmetry: No. 26
E above lowest polymorph in meV/atom: 84

Record 2
This record from OQMD via LeMat-Bulk describes RePIrO after structural relaxation. The functional is PBE.

Unit cell a=4.1905 b=4.1905 c=5.6641 alpha=90.00 beta=90.00 gamma=90.00
Closest atoms and distances in Å follow each position.
Sites, in units of the cell vectors:
Ir  0.5000  0.0000  0.8675  4 O 2.23, 1 P 2.44
P  0.0000  0.5000  0.7016  4 Re 2.39, 1 Ir 2.44
Re  0.5000  0.5000  0.5000  4 P 2.39
Re  0.0000  0.0000  0.5000  4 P 2.39
Ir  0.0000  0.5000  0.1325  4 O 2.23, 1 P 2.44
P  0.5000  0.0000  0.2984  4 Re 2.39, 1 Ir 2.44
O  0.0000  0.0000  0.0000  4 Ir 2.23
O  0.5000  0.5000  0.0000  4 Ir 2.23

Properties
E_tot in eV/atom: -7.8005
Symmetry: No. 129
E above lowest polymorph in meV/atom: 335

Record 3
This record from OQMD via LeMat-Bulk describes RePIrO after structural relaxation. The functional is PBE.

Unit cell a=2.8826 b=7.3036 c=5.1814 alpha=90.00 beta=90.00 gamma=90.00
Closest atoms and distances in Å follow each position.
Sites, in units of the cell vectors:
O  0.5000  0.8003  0.3551  2 Re 2.02-2.03
Re  0.5000  0.9504  0.0286  2 O 2.02-2.03
O  0.5000  0.1997  0.8551  2 Re 2.02-2.03
P  0.0000  0.2815  0.3838  2 Ir 2.25-2.29, 2 Re 2.35
Re  0.5000  0.0496  0.5286  2 O 2.02-2.03
Ir  0.0000  0.5804  0.4864  2 P 2.25-2.29, 2 O 2.26
Ir  0.0000  0.4196  0.9864  2 P 2.25-2.29, 2 O 2.26
P  0.0000  0.7185  0.8838  2 Ir 2.25-2.29, 2 Re 2.35

Properties
E_tot in eV/atom: -8.1356
Symmetry: No. 26
E above lowest polymorph in meV/atom: 0

Record 4
This record from OQMD via LeMat-Bulk describes ScPIrO after structural relaxation. The functional is PBE.

Unit cell a=5.1833 b=5.1833 c=4.4324 alpha=90.00 beta=90.00 gamma=90.00
Closest atoms and distances in Å follow each position.
Sites, in units of the cell vectors:
P  0.5000  0.5000  0.4962  2 Ir 2.22
Sc  0.0000  0.5000  0.5000  2 O 2.22
Ir  0.5000  0.5000  0.9964  2 P 2.22
Ir  0.0000  0.0000  0.0036  2 P 2.22
O  0.0000  0.5000  0.0000  2 Sc 2.22
Sc  0.5000  0.0000  0.5000  2 O 2.22
O  0.5000  0.0000  0.0000  2 Sc 2.22
P  0.0000  0.0000  0.5038  2 Ir 2.22

Properties
E_tot in eV/atom: -7.0869
Symmetry: No. 129
E above lowest polymorph in meV/atom: 1096

> What is the E_tot in the second record?

-7.8005 eV/atom

> Which of these has the lowest E_tot?

number 3